No. 1
ReI3 after structural relaxation, computed with PBE.

a b c (Å): 7.412 7.412 7.412
angles (deg): 116.62 116.62 95.97
Sites, in units of the cell vectors:
Re (0.000, 0.000, 0.000)
Re (0.750, 0.250, 0.500)
I (0.021, 0.625, 0.896)
I (0.250, 0.750, 0.500)
I (0.375, 0.271, 0.396)
I (0.500, 0.500, 0.000)
I (0.729, 0.125, 0.104)
I (0.875, 0.979, 0.604)

Energy above the most stable polymorph in this dataset, eV/f.u.: 3.213
Volume, Å³/cell: 301
DOS at the Fermi energy, states/eV/f.u.: 2.34
Space-group type: I-42d, No. 122
Formation energy without anion corrections, meV per atom: 759
DFT total energy, eV per atom: -3.516

No. 2
SiBAu after structural relaxation, computed with PBE.

a b c (Å): 3.065 5.531 6.296
angles (deg): 114.51 90.21 105.85
Sites, in units of the cell vectors:
Si (0.016, 0.030, 0.196)
Si (0.984, 0.970, 0.804)
B (0.213, 0.425, 0.463)
B (0.787, 0.575, 0.537)
Au (0.361, 0.714, 0.268)
Au (0.639, 0.286, 0.732)

Volume, Å³/cell: 93
DOS at the Fermi energy, states/eV/f.u.: 0.58
Space-group type: P-1, No. 2
Formation energy without anion corrections, meV per atom: 209
DFT total energy, eV per atom: -4.917

No. 3
PrDy5Ho2Er after structural relaxation, computed with PBE.

a b c (Å): 10.304 10.304 10.647
angles (deg): 90.00 90.00 148.54
Sites, in units of the cell vectors:
Pr (0.203, 0.797, 0.500)
Pr (0.797, 0.203, 0.000)
Dy (0.018, 0.982, 0.517)
Dy (0.283, 0.717, 0.794)
Dy (0.300, 0.700, 0.197)
Dy (0.395, 0.605, 0.514)
Dy (0.479, 0.521, 0.228)
Dy (0.521, 0.479, 0.728)
Dy (0.605, 0.395, 0.014)
Dy (0.700, 0.300, 0.697)
Dy (0.717, 0.283, 0.294)
Dy (0.982, 0.018, 0.017)
Ho (0.108, 0.892, 0.228)
Ho (0.114, 0.886, 0.809)
Ho (0.886, 0.114, 0.309)
Ho (0.892, 0.108, 0.728)
Er (0.414, 0.586, 0.946)
Er (0.586, 0.414, 0.446)

Volume, Å³/cell: 590
DOS at the Fermi energy, states/eV/f.u.: 13.84
Space-group type: Cmc2_1, No. 36
DFT total energy, eV per atom: -4.457

No. 4
Ba2PaSe4 after structural relaxation, computed with PBE.

a b c (Å): 7.967 7.557 9.297
angles (deg): 90.00 108.18 90.00
Sites, in units of the cell vectors:
Ba (0.191, 0.250, 0.054)
Ba (0.241, 0.250, 0.552)
Ba (0.759, 0.750, 0.448)
Ba (0.809, 0.750, 0.946)
Pa (0.269, 0.750, 0.816)
Pa (0.731, 0.250, 0.184)
Se (0.014, 0.004, 0.746)
Se (0.014, 0.496, 0.746)
Se (0.461, 0.750, 0.625)
Se (0.477, 0.750, 0.107)
Se (0.523, 0.250, 0.893)
Se (0.539, 0.250, 0.375)
Se (0.986, 0.504, 0.254)
Se (0.986, 0.996, 0.254)

Energy above the most stable polymorph in this dataset, eV/f.u.: 1.029
Volume, Å³/cell: 532
DOS at the Fermi energy, states/eV/f.u.: 1.79
Space-group type: P2_1/m, No. 11
Formation energy without anion corrections, meV per atom: -1561
DFT total energy, eV per atom: -5.458

No. 5
Cd2CoSiBr after structural relaxation, computed with PBE.

a b c (Å): 5.128 5.128 5.203
angles (deg): 90.00 90.00 90.00
Sites, in units of the cell vectors:
Cd (0.000, 0.500, 0.000)
Cd (0.500, 0.000, 0.000)
Co (0.000, 0.000, 0.500)
Si (0.500, 0.500, 0.000)
Br (0.500, 0.500, 0.500)

Volume, Å³/cell: 137
DOS at the Fermi energy, states/eV/f.u.: 1.73
Space-group type: P4/mmm, No. 123
Formation energy without anion corrections, meV per atom: 828
DFT total energy, eV per atom: -2.378

No. 6
Pu2Ga3Ge2 after structural relaxation, computed with PBE.

a b c (Å): 11.625 11.625 3.113
angles (deg): 90.00 90.00 160.23
Sites, in units of the cell vectors:
Pu (0.142, 0.858, 0.000)
Pu (0.858, 0.142, 0.000)
Ga (0.000, 0.000, 0.000)
Ga (0.441, 0.559, 0.500)
Ga (0.559, 0.441, 0.500)
Ge (0.284, 0.716, 0.500)
Ge (0.716, 0.284, 0.500)

Volume, Å³/cell: 142
DOS at the Fermi energy, states/eV/f.u.: 14.69
Space-group type: Cmmm, No. 65
DFT total energy, eV per atom: -6.956

Q: Look up the DFT total energy of the first one.
A: -3.516 eV per atom